Density functional theory data (PBE) for crystalline Li2Sc2SiSnPd2 at its relaxed geometry.

abc: 4.483 4.483 6.418
angles: 90.00 90.00 90.00
Fractional positions:
Li (0.000, 0.500, 0.232)
Li (0.500, 0.000, 0.768)
Sc (0.000, 0.000, 0.000)
Sc (0.500, 0.500, 0.500)
Si (0.500, 0.500, 0.000)
Sn (0.000, 0.000, 0.500)
Pd (0.000, 0.500, 0.769)
Pd (0.500, 0.000, 0.231)

## Properties
Its total magnetization is 0.003 μB per formula unit. Its total energy is -5.30 eV/atom. The space-group type is P-4m2, No. 115.


Density functional theory data (PBE) for crystalline LiScSnPd at its relaxed geometry.

abc: 4.611 4.611 6.517
angles: 90.00 90.00 90.00
Fractional positions:
Li (0.000, 0.500, 0.248)
Li (0.500, 0.000, 0.752)
Sc (0.000, 0.000, 0.000)
Sc (0.500, 0.500, 0.500)
Sn (0.000, 0.000, 0.500)
Sn (0.500, 0.500, 0.000)
Pd (0.000, 0.500, 0.749)
Pd (0.500, 0.000, 0.251)

## Properties
The value obtained for the excess energy over the best structure of this formula in the dataset is 0.01 kcal/mol of atoms. Its total magnetization is 0.001 μB per formula unit. Its total energy is -5.15 eV/atom. The space-group type is P-4m2, No. 115.


Density functional theory data (PBE) for crystalline LiScSnPd at its relaxed geometry.

abc: 4.613 4.613 4.613
angles: 60.00 60.00 60.00
Fractional positions:
Li (0.000, 0.000, 0.000)
Sc (0.250, 0.250, 0.250)
Sn (0.750, 0.750, 0.750)
Pd (0.500, 0.500, 0.500)

## Properties
The value obtained for the excess energy over the best structure of this formula in the dataset is 0.00 kcal/mol of atoms. Its total magnetization is 0.001 μB per formula unit. Its total energy is -5.15 eV/atom. The space-group type is F-43m, No. 216.


Density functional theory data (PBE) for crystalline LiScSnPd at its relaxed geometry.

abc: 4.659 4.659 4.659
angles: 60.00 60.00 60.00
Fractional positions:
Li (0.000, 0.000, 0.000)
Sc (0.750, 0.750, 0.750)
Sn (0.500, 0.500, 0.500)
Pd (0.250, 0.250, 0.250)

## Properties
The value obtained for the excess energy over the best structure of this formula in the dataset is 4.05 kcal/mol of atoms. Its total magnetization is 0.000 μB per formula unit. Its total energy is -4.98 eV/atom. The space-group type is F-43m, No. 216.


Density functional theory data (PBE) for crystalline LiScSnPd at its relaxed geometry.

abc: 4.704 4.704 4.704
angles: 60.00 60.00 60.00
Fractional positions:
Li (0.000, 0.000, 0.000)
Sc (0.500, 0.500, 0.500)
Sn (0.250, 0.250, 0.250)
Pd (0.750, 0.750, 0.750)

## Properties
The value obtained for the excess energy over the best structure of this formula in the dataset is 4.17 kcal/mol of atoms. Its total magnetization is 0.000 μB per formula unit. Its total energy is -4.97 eV/atom. The space-group type is F-43m, No. 216.


Density functional theory data (PBE) for crystalline Li2YScSn2Pd2 at its relaxed geometry.

abc: 4.688 4.688 6.652
angles: 90.00 90.00 90.00
Fractional positions:
Li (0.000, 0.500, 0.236)
Li (0.500, 0.000, 0.764)
Y (0.000, 0.000, 0.500)
Sc (0.500, 0.500, 0.000)
Sn (0.000, 0.000, 0.000)
Sn (0.500, 0.500, 0.500)
Pd (0.000, 0.500, 0.763)
Pd (0.500, 0.000, 0.237)

## Properties
Its total magnetization is 0.001 μB per formula unit. Its total energy is -5.17 eV/atom. The space-group type is P-4m2, No. 115.


Density functional theory data (PBE) for crystalline Li2Pd2Se3 at its relaxed geometry.

abc: 6.771 6.771 6.771
angles: 109.47 109.47 109.47
Fractional positions:
Li (0.000, 0.352, 0.500)
Li (0.148, 0.148, 0.148)
Li (0.352, 0.500, 0.000)
Li (0.500, 0.000, 0.352)
Pd (0.000, 0.819, 0.500)
Pd (0.500, 0.000, 0.819)
Pd (0.681, 0.681, 0.681)
Pd (0.819, 0.500, 0.000)
Se (0.128, 0.750, 0.878)
Se (0.250, 0.622, 0.372)
Se (0.372, 0.250, 0.622)
Se (0.622, 0.372, 0.250)
Se (0.750, 0.878, 0.128)
Se (0.878, 0.128, 0.750)

## Properties
The value obtained for the excess energy over the best structure of this formula in the dataset is 0.00 kcal/mol of atoms. Its total energy is -4.12 eV/atom. The space-group type is I2_13, No. 199.


Density functional theory data (PBE) for crystalline LiPdSe at its relaxed geometry.

abc: 3.786 3.786 6.657
angles: 90.00 90.00 90.00
Fractional positions:
Li (0.250, 0.750, 0.000)
Li (0.750, 0.250, 0.000)
Pd (0.250, 0.250, 0.307)
Pd (0.750, 0.750, 0.693)
Se (0.250, 0.250, 0.723)
Se (0.750, 0.750, 0.277)

## Properties
Its total energy is -4.08 eV/atom. The space-group type is P4/nmm, No. 129.


Density functional theory data (PBE) for crystalline Li2Pd2Se3 at its relaxed geometry.

abc: 5.669 5.669 5.669
angles: 62.40 62.40 62.40
Fractional positions:
Li (0.000, 0.000, 0.000)
Li (0.500, 0.500, 0.500)
Pd (0.192, 0.192, 0.192)
Pd (0.808, 0.808, 0.808)
Se (0.000, 0.500, 0.500)
Se (0.500, 0.000, 0.500)
Se (0.500, 0.500, 0.000)

## Properties
The value obtained for the excess energy over the best structure of this formula in the dataset is 10.39 kcal/mol of atoms. Its total energy is -3.67 eV/atom. The space-group type is R-3m, No. 166.


Density functional theory data (PBE) for crystalline Li2TaPdSe4 at its relaxed geometry.

abc: 3.528 3.528 13.769
angles: 90.00 90.00 120.00
Fractional positions:
Li (0.000, 0.000, 0.247)
Li (0.000, 0.000, 0.753)
Ta (0.000, 0.000, 0.500)
Pd (0.000, 0.000, 0.000)
Se (0.333, 0.667, 0.379)
Se (0.333, 0.667, 0.621)
Se (0.667, 0.333, 0.120)
Se (0.667, 0.333, 0.880)

## Properties
Its total magnetization is 0.006 μB per formula unit. Its total energy is -5.05 eV/atom. The space-group type is P-6m2, No. 187.


Density functional theory data (PBE) for crystalline LiTlPdSe3 at its relaxed geometry.

abc: 7.080 7.080 10.087
angles: 90.00 90.00 148.01
Fractional positions:
Li (0.041, 0.959, 0.750)
Li (0.959, 0.041, 0.250)
Tl (0.249, 0.751, 0.250)
Tl (0.751, 0.249, 0.750)
Pd (0.500, 0.500, 0.000)
Pd (0.500, 0.500, 0.500)
Se (0.120, 0.880, 0.527)
Se (0.120, 0.880, 0.973)
Se (0.428, 0.572, 0.750)
Se (0.572, 0.428, 0.250)
Se (0.880, 0.120, 0.027)
Se (0.880, 0.120, 0.473)

## Properties
Its total energy is -3.77 eV/atom. The space-group type is Cmcm, No. 63.


Density functional theory data (PBE) for crystalline LiZrPdSe3 at its relaxed geometry.

abc: 7.094 7.094 10.062
angles: 90.00 90.00 149.78
Fractional positions:
Li (0.192, 0.808, 0.750)
Li (0.808, 0.192, 0.250)
Zr (0.000, 0.000, 0.000)
Zr (0.000, 0.000, 0.500)
Pd (0.479, 0.521, 0.250)
Pd (0.521, 0.479, 0.750)
Se (0.102, 0.898, 0.250)
Se (0.359, 0.641, 0.058)
Se (0.359, 0.641, 0.442)
Se (0.641, 0.359, 0.558)
Se (0.641, 0.359, 0.942)
Se (0.898, 0.102, 0.750)

## Properties
The value obtained for the excess energy over the best structure of this formula in the dataset is 0.91 kcal/mol of atoms. Its total magnetization is 0.009 μB per formula unit. Its total energy is -5.34 eV/atom. The space-group type is Cmcm, No. 63.